(1)
Density functional theory data (PBE-GGA) for a geometry-optimized TaNbCl3 structure.

Output
N(E_F): 7.7 states/eV per cell
Offset from the most stable computed form: 0.85 eV/f.u.
Raw total energy: -4.7924 eV/atom
Total magnetic moment: 5.7 μB per formula unit

Cell lengths 4.9333, 4.9333, 4.9333 Å; angles 90.00, 90.00, 90.00 degrees
Last column: nearest neighbours and their distance in Å.
Element x y z (fractional)
Nb: 0.0000 0.0000 0.0000  6 Cl 2.47
Cl: 0.0000 0.5000 0.0000  2 Nb 2.47
Cl: 0.0000 0.0000 0.5000  2 Nb 2.47
Cl: 0.5000 0.0000 0.0000  2 Nb 2.47
Ta: 0.5000 0.5000 0.5000  12 Cl 3.49

=====

(2)
Density functional theory data (PBE-GGA) for a geometry-optimized Ta3NbCl structure.

Output
N(E_F): 6.9 states/eV per cell
Offset from the most stable computed form: 0.00 eV/f.u.
Raw total energy: -8.6702 eV/atom
Total magnetic moment: 0.0 μB per formula unit

Cell lengths 4.5370, 4.5370, 4.5370 Å; angles 90.00, 90.00, 90.00 degrees
Last column: nearest neighbours and their distance in Å.
Element x y z (fractional)
Nb: 0.5000 0.5000 0.5000  12 Ta 3.21
Cl: 0.0000 0.0000 0.0000  6 Ta 2.27
Ta: 0.0000 0.5000 0.0000  2 Cl 2.27
Ta: 0.0000 0.0000 0.5000  2 Cl 2.27
Ta: 0.5000 0.0000 0.0000  2 Cl 2.27

=====

(3)
Density functional theory data (PBE-GGA) for a geometry-optimized TaNbCl3 structure.

Output
N(E_F): 8.2 states/eV per cell
Offset from the most stable computed form: 0.00 eV/f.u.
Raw total energy: -4.9622 eV/atom
Total magnetic moment: 3.2 μB per formula unit

Cell lengths 4.8906, 4.8906, 4.8906 Å; angles 90.00, 90.00, 90.00 degrees
Last column: nearest neighbours and their distance in Å.
Element x y z (fractional)
Nb: 0.5000 0.5000 0.5000  12 Cl 3.46
Cl: 0.0000 0.5000 0.0000  2 Ta 2.45
Cl: 0.0000 0.0000 0.5000  2 Ta 2.45
Cl: 0.5000 0.0000 0.0000  2 Ta 2.45
Ta: 0.0000 0.0000 0.0000  6 Cl 2.45

=====

(4)
Density functional theory data (PBE-GGA) for a geometry-optimized Ta2NbCl8 structure.

Output
N(E_F): 4.3 states/eV per cell
Raw total energy: -5.2808 eV/atom
Total magnetic moment: 1.0 μB per formula unit

Cell lengths 5.9659, 7.9113, 7.9113 Å; angles 81.56, 96.15, 96.15 degrees
Last column: nearest neighbours and their distance in Å.
Element x y z (fractional)
Ta: 0.6560 0.8174 0.8174  4 Cl 2.29-2.35
Ta: 0.3440 0.1826 0.1826  4 Cl 2.29-2.35
Nb: 0.0000 0.0000 0.0000  6 Cl 2.55-2.65, 2 Ta 2.78
Cl: 0.2159 0.3041 0.9053  1 Ta 2.35
Cl: 0.7841 0.0947 0.6959  1 Ta 2.35
Cl: 0.2816 0.8583 0.8583  1 Ta 2.35, 1 Nb 2.55
Cl: 0.7184 0.1417 0.1417  1 Ta 2.35, 1 Nb 2.55
Cl: 0.2159 0.9053 0.3041  1 Ta 2.35
Cl: 0.7841 0.6959 0.0947  1 Ta 2.35
Cl: 0.7424 0.6371 0.6371  1 Ta 2.29
Cl: 0.2576 0.3629 0.3629  1 Ta 2.29

=====

(5)
Density functional theory data (PBE-GGA) for a geometry-optimized Ta2Nb2Cl structure.

Output
N(E_F): 9.9 states/eV per cell
Offset from the most stable computed form: 0.00 eV/f.u.
Raw total energy: -8.4766 eV/atom
Total magnetic moment: 0.0 μB per formula unit

Cell lengths 7.6246, 7.6246, 3.4733 Å; angles 90.00, 90.00, 90.00 degrees
Last column: nearest neighbours and their distance in Å.
Element x y z (fractional)
Nb: 0.1380 0.6380 0.5000  6 Ta 2.76-2.93, 1 Nb 2.98
Nb: 0.6380 0.8620 0.5000  6 Ta 2.76-2.93, 1 Nb 2.98
Nb: 0.8620 0.3620 0.5000  6 Ta 2.76-2.93, 1 Nb 2.98
Nb: 0.3620 0.1380 0.5000  6 Ta 2.76-2.93, 1 Nb 2.98
Cl: 0.0000 0.0000 0.0000  4 Ta 2.93
Cl: 0.5000 0.5000 0.0000  4 Ta 2.93
Ta: 0.3571 0.8571 0.0000  6 Nb 2.76-2.93, 2 Cl 2.93, 1 Ta 3.08
Ta: 0.8571 0.6429 0.0000  6 Nb 2.76-2.93, 2 Cl 2.93, 1 Ta 3.08
Ta: 0.6429 0.1429 0.0000  6 Nb 2.76-2.93, 2 Cl 2.93, 1 Ta 3.08
Ta: 0.1429 0.3571 0.0000  6 Nb 2.76-2.93, 2 Cl 2.93, 1 Ta 3.08

=====

(6)
Density functional theory data (PBE-GGA) for a geometry-optimized Ta2Nb2Cl7 structure.

Output
N(E_F): 2.5 states/eV per cell
Raw total energy: -5.9349 eV/atom
Total magnetic moment: 1.0 μB per formula unit

Cell lengths 7.0032, 7.6143, 15.2868 Å; angles 111.20, 100.63, 109.15 degrees
Last column: nearest neighbours and their distance in Å.
Element x y z (fractional)
Ta: 0.4583 0.4541 0.3089  4 Cl 2.35-2.60, 1 Nb 2.51
Ta: 0.4396 0.4618 0.1226  4 Cl 2.47-2.63, 1 Nb 2.66
Ta: 0.5604 0.5382 0.8774  4 Cl 2.47-2.63, 1 Nb 2.66
Ta: 0.5417 0.5459 0.6911  4 Cl 2.35-2.60, 1 Nb 2.51
Nb: 0.5375 0.1906 0.1848  3 Cl 2.50-2.64, 2 Ta 2.51-2.78, 1 Nb 2.51
Nb: 0.1774 0.4495 0.7594  4 Cl 2.51-2.72, 1 Nb 2.51, 1 Ta 2.66
Nb: 0.8226 0.5505 0.2406  4 Cl 2.51-2.72, 1 Nb 2.51, 1 Ta 2.66
Nb: 0.4625 0.8094 0.8152  3 Cl 2.50-2.64, 2 Ta 2.51-2.78, 1 Nb 2.51
Cl: 0.1348 0.4510 0.2012  2 Ta 2.53-2.63, 1 Nb 2.64
Cl: 0.2882 0.0821 0.0158  1 Ta 2.47, 1 Nb 2.50
Cl: 0.7815 0.3786 0.3680  2 Nb 2.56-2.72, 1 Ta 2.60
Cl: 0.2221 0.2119 0.3453  1 Ta 2.35
Cl: 0.5124 0.1725 0.8212  1 Ta 2.48, 1 Nb 2.64
Cl: 0.2354 0.2030 0.6172  1 Ta 2.45, 1 Nb 2.51
Cl: 0.2339 0.4333 0.9267  1 Ta 2.51, 1 Nb 2.57
Cl: 0.7661 0.5667 0.0733  1 Ta 2.51, 1 Nb 2.57
Cl: 0.7646 0.7970 0.3828  1 Ta 2.45, 1 Nb 2.51
Cl: 0.4876 0.8275 0.1788  1 Ta 2.48, 1 Nb 2.64
Cl: 0.7779 0.7881 0.6547  1 Ta 2.35
Cl: 0.2185 0.6214 0.6320  2 Nb 2.56-2.72, 1 Ta 2.60
Cl: 0.7118 0.9179 0.9842  1 Ta 2.47, 1 Nb 2.50
Cl: 0.8652 0.5490 0.7988  2 Ta 2.53-2.63, 1 Nb 2.64

=====

(7)
Density functional theory data (PBE-GGA) for a geometry-optimized TaNb2Cl structure.

Output
N(E_F): 13.8 states/eV per cell
Offset from the most stable computed form: 0.49 eV/f.u.
Raw total energy: -7.6359 eV/atom
Total magnetic moment: 0.0 μB per formula unit

Cell lengths 3.9247, 3.9247, 10.2121 Å; angles 78.92, 78.92, 90.00 degrees
Last column: nearest neighbours and their distance in Å.
Element x y z (fractional)
Nb: 0.6279 0.1250 0.2500  4 Nb 2.76-2.79, 2 Ta 2.82, 2 Cl 2.83
Nb: 0.1221 0.6250 0.2500  4 Nb 2.76-2.79, 2 Ta 2.82, 2 Cl 2.83
Nb: 0.3750 0.3721 0.7500  4 Nb 2.76-2.79, 2 Ta 2.82, 2 Cl 2.83
Nb: 0.8750 0.8779 0.7500  4 Nb 2.76-2.79, 2 Ta 2.82, 2 Cl 2.83
Cl: 0.5000 0.5000 0.0000  4 Ta 2.78, 4 Nb 2.83
Cl: 0.2500 0.7500 0.5000  4 Ta 2.78, 4 Nb 2.83
Ta: 0.0000 0.0000 0.0000  4 Cl 2.78, 4 Nb 2.82
Ta: 0.7500 0.2500 0.5000  4 Cl 2.78, 4 Nb 2.82

=====

(8)
Density functional theory data (PBE-GGA) for a geometry-optimized TaNbCl2 structure.

Output
N(E_F): 5.4 states/eV per cell
Offset from the most stable computed form: 3.34 eV/f.u.
Raw total energy: -5.7035 eV/atom
Total magnetic moment: 0.0 μB per formula unit

Cell lengths 4.4837, 4.4837, 4.4837 Å; angles 60.00, 60.00, 60.00 degrees
Last column: nearest neighbours and their distance in Å.
Element x y z (fractional)
Nb: 0.0000 0.0000 0.0000  8 Cl 2.75
Cl: 0.2500 0.2500 0.2500  4 Nb 2.75, 4 Ta 2.75
Cl: 0.7500 0.7500 0.7500  4 Ta 2.75, 4 Nb 2.75
Ta: 0.5000 0.5000 0.5000  8 Cl 2.75

=====

(9)
Density functional theory data (PBE-GGA) for a geometry-optimized Nb2TcCl structure.

Output
N(E_F): 5.4 states/eV per cell
Offset from the most stable computed form: 0.00 eV/f.u.
Raw total energy: -7.6064 eV/atom
Total magnetic moment: 0.0 μB per formula unit

Cell lengths 4.5510, 4.5510, 4.5510 Å; angles 60.00, 60.00, 60.00 degrees
Last column: nearest neighbours and their distance in Å.
Element x y z (fractional)
Nb: 0.2500 0.2500 0.2500  4 Tc 2.79, 4 Cl 2.79
Nb: 0.7500 0.7500 0.7500  4 Cl 2.79, 4 Tc 2.79
Tc: 0.5000 0.5000 0.5000  8 Nb 2.79
Cl: 0.0000 0.0000 0.0000  8 Nb 2.79

=====

(10)
Density functional theory data (PBE-GGA) for a geometry-optimized NbTcCl2 structure.

Output
N(E_F): 4.6 states/eV per cell
Offset from the most stable computed form: 2.35 eV/f.u.
Raw total energy: -5.3869 eV/atom
Total magnetic moment: 0.0 μB per formula unit

Cell lengths 4.4070, 4.4070, 4.4070 Å; angles 60.00, 60.00, 60.00 degrees
Last column: nearest neighbours and their distance in Å.
Element x y z (fractional)
Nb: 0.0000 0.0000 0.0000  8 Cl 2.70
Tc: 0.5000 0.5000 0.5000  8 Cl 2.70
Cl: 0.2500 0.2500 0.2500  4 Tc 2.70, 4 Nb 2.70
Cl: 0.7500 0.7500 0.7500  4 Nb 2.70, 4 Tc 2.70

=====

(11)
Density functional theory data (PBE-GGA) for a geometry-optimized NbTcCl2 structure.

Output
N(E_F): 6.8 states/eV per cell
Offset from the most stable computed form: 2.57 eV/f.u.
Raw total energy: -5.3335 eV/atom
Total magnetic moment: 0.8 μB per formula unit

Cell lengths 5.5644, 5.5644, 6.4943 Å; angles 64.63, 64.63, 90.00 degrees
Last column: nearest neighbours and their distance in Å.
Element x y z (fractional)
Nb: 0.5000 0.5000 0.0000  4 Cl 2.41
Nb: 0.2500 0.7500 0.5000  4 Cl 2.41
Tc: 0.0000 0.0000 0.0000  4 Cl 2.30
Tc: 0.7500 0.2500 0.5000  4 Cl 2.30
Cl: 0.6406 0.1250 0.2500  2 Tc 2.30, 2 Nb 2.41
Cl: 0.1094 0.6250 0.2500  2 Tc 2.30, 2 Nb 2.41
Cl: 0.3750 0.3594 0.7500  2 Tc 2.30, 2 Nb 2.41
Cl: 0.8750 0.8906 0.7500  2 Tc 2.30, 2 Nb 2.41

=====

(12)
Density functional theory data (PBE-GGA) for a geometry-optimized NbTcCl3 structure.

Output
N(E_F): 8.3 states/eV per cell
Offset from the most stable computed form: 0.95 eV/f.u.
Raw total energy: -4.5698 eV/atom
Total magnetic moment: 1.4 μB per formula unit

Cell lengths 4.8648, 4.8648, 4.8648 Å; angles 90.00, 90.00, 90.00 degrees
Last column: nearest neighbours and their distance in Å.
Element x y z (fractional)
Nb: 0.5000 0.5000 0.5000  12 Cl 3.44
Tc: 0.0000 0.0000 0.0000  6 Cl 2.43
Cl: 0.0000 0.5000 0.0000  2 Tc 2.43
Cl: 0.0000 0.0000 0.5000  2 Tc 2.43
Cl: 0.5000 0.0000 0.0000  2 Tc 2.43

=====

(13)
Density functional theory data (PBE-GGA) for a geometry-optimized NbTcCl3 structure.

Output
N(E_F): 8.2 states/eV per cell
Offset from the most stable computed form: 0.00 eV/f.u.
Raw total energy: -4.7594 eV/atom
Total magnetic moment: 7.7 μB per formula unit

Cell lengths 5.0535, 5.0535, 5.0535 Å; angles 90.00, 90.00, 90.00 degrees
Last column: nearest neighbours and their distance in Å.
Element x y z (fractional)
Nb: 0.0000 0.0000 0.0000  6 Cl 2.53
Tc: 0.5000 0.5000 0.5000  12 Cl 3.57
Cl: 0.0000 0.5000 0.0000  2 Nb 2.53
Cl: 0.0000 0.0000 0.5000  2 Nb 2.53
Cl: 0.5000 0.0000 0.0000  2 Nb 2.53